No. 1
A plane-wave DFT calculation with GGA-PBEsol was carried out for Si6Bi9O26 after structural relaxation.

a = 9.6078 Å, b = 9.6078 Å, c = 13.9613 Å
α = 90.00°, β = 90.00°, γ = 120.00°
Positions (direct):
Si (0.0230, 0.6269, 0.3750)
Si (0.0253, 0.6270, 0.8733)
Si (0.3731, 0.3960, 0.3750)
Si (0.3730, 0.3983, 0.8733)
Si (0.3960, 0.0230, 0.6250)
Si (0.3983, 0.0253, 0.1267)
Si (0.6017, 0.9747, 0.8733)
Si (0.6040, 0.9770, 0.3750)
Si (0.6270, 0.6017, 0.1267)
Si (0.6269, 0.6040, 0.6250)
Si (0.9747, 0.3730, 0.1267)
Si (0.9770, 0.3731, 0.6250)
Bi (0.0042, 0.2419, 0.3736)
Bi (0.0086, 0.2394, 0.8742)
Bi (0.2308, 0.9914, 0.8742)
Bi (0.2377, 0.9958, 0.3736)
Bi (0.2394, 0.2308, 0.1258)
Bi (0.2419, 0.2377, 0.6264)
Bi (0.3333, 0.6667, 0.2431)
Bi (0.3333, 0.6667, 0.5252)
Bi (0.3333, 0.6667, 0.9830)
Bi (0.6667, 0.3333, 0.0170)
Bi (0.6667, 0.3333, 0.4748)
Bi (0.6667, 0.3333, 0.7569)
Bi (0.7581, 0.7623, 0.3736)
Bi (0.7606, 0.7692, 0.8742)
Bi (0.7623, 0.0042, 0.6264)
Bi (0.7692, 0.0086, 0.1258)
Bi (0.9914, 0.7606, 0.1258)
Bi (0.9958, 0.7581, 0.6264)
O (0.0000, 0.0000, 0.1195)
O (0.0000, 0.0000, 0.3735)
O (0.0000, 0.0000, 0.6265)
O (0.0000, 0.0000, 0.8805)
O (0.0756, 0.7597, 0.7862)
O (0.0909, 0.7542, 0.2840)
O (0.0928, 0.7536, 0.9654)
O (0.0967, 0.7519, 0.4668)
O (0.1116, 0.5190, 0.3689)
O (0.1205, 0.5258, 0.8802)
O (0.1683, 0.4961, 0.1263)
O (0.1715, 0.4771, 0.6231)
O (0.2403, 0.3159, 0.7862)
O (0.2458, 0.3366, 0.2840)
O (0.2464, 0.3392, 0.9654)
O (0.2481, 0.3448, 0.4668)
O (0.3056, 0.8285, 0.6231)
O (0.3159, 0.0756, 0.2138)
O (0.3278, 0.8317, 0.1263)
O (0.3366, 0.0909, 0.7160)
O (0.3392, 0.0928, 0.0346)
O (0.3448, 0.0967, 0.5332)
O (0.4052, 0.8795, 0.8802)
O (0.4074, 0.8884, 0.3689)
O (0.4742, 0.5948, 0.8802)
O (0.4771, 0.3056, 0.3769)
O (0.4810, 0.5926, 0.3689)
O (0.4961, 0.3278, 0.8737)
O (0.5039, 0.6722, 0.1263)
O (0.5190, 0.4074, 0.6311)
O (0.5229, 0.6944, 0.6231)
O (0.5258, 0.4052, 0.1198)
O (0.5926, 0.1116, 0.6311)
O (0.5948, 0.1205, 0.1198)
O (0.6552, 0.9033, 0.4668)
O (0.6608, 0.9072, 0.9654)
O (0.6634, 0.9091, 0.2840)
O (0.6722, 0.1683, 0.8737)
O (0.6841, 0.9244, 0.7862)
O (0.6944, 0.1715, 0.3769)
O (0.7519, 0.6552, 0.5332)
O (0.7536, 0.6608, 0.0346)
O (0.7542, 0.6634, 0.7160)
O (0.7597, 0.6841, 0.2138)
O (0.8285, 0.5229, 0.3769)
O (0.8317, 0.5039, 0.8737)
O (0.8795, 0.4742, 0.1198)
O (0.8884, 0.4810, 0.6311)
O (0.9033, 0.2481, 0.5332)
O (0.9072, 0.2464, 0.0346)
O (0.9091, 0.2458, 0.7160)
O (0.9244, 0.2403, 0.2138)

Results
Space group: P-3, No. 147
Spin magnetization (μB/atom): 0.0001
Relative energy among the computed polymorphs (meV per atom): 0.0
DFT total energy (eV/atom): -7.03



No. 2
A plane-wave DFT calculation with GGA-PBEsol was carried out for Si6BiO14 after structural relaxation.

a = 13.0249 Å, b = 13.0249 Å, c = 13.0249 Å
α = 146.60°, β = 108.03°, γ = 81.71°
Positions (direct):
Si (0.0265, 0.0063, 0.7353)
Si (0.0741, 0.3956, 0.1754)
Si (0.1258, 0.6790, 0.8048)
Si (0.1730, 0.2646, 0.4377)
Si (0.2202, 0.8988, 0.8246)
Si (0.2290, 0.4937, 0.0203)
Si (0.2710, 0.2913, 0.2647)
Si (0.2798, 0.1044, 0.6786)
Si (0.3270, 0.7646, 0.0916)
Si (0.3742, 0.1790, 0.5531)
Si (0.4258, 0.6012, 0.3214)
Si (0.4735, 0.2087, 0.9797)
Si (0.5265, 0.7913, 0.0203)
Si (0.5742, 0.3988, 0.6786)
Si (0.6258, 0.8210, 0.4469)
Si (0.6730, 0.2354, 0.9084)
Si (0.7202, 0.8956, 0.3214)
Si (0.7290, 0.7087, 0.7353)
Si (0.7710, 0.5063, 0.9797)
Si (0.7798, 0.1012, 0.1754)
Si (0.8270, 0.7354, 0.5623)
Si (0.8742, 0.3210, 0.1952)
Si (0.9258, 0.6044, 0.8246)
Si (0.9735, 0.9937, 0.2647)
Bi (0.0379, 0.7500, 0.2879)
Bi (0.4621, 0.7500, 0.7121)
Bi (0.5379, 0.2500, 0.2879)
Bi (0.9621, 0.2500, 0.7121)
O (0.0043, 0.0314, 0.4283)
O (0.0046, 0.6762, 0.8107)
O (0.0382, 0.2386, 0.9404)
O (0.0616, 0.6054, 0.3117)
O (0.0714, 0.0954, 0.3025)
O (0.1031, 0.5314, 0.0271)
O (0.1346, 0.8062, 0.8107)
O (0.1357, 0.4650, 0.6007)
O (0.1438, 0.9542, 0.7554)
O (0.1989, 0.3884, 0.2446)
O (0.2018, 0.2614, 0.7997)
O (0.2064, 0.8946, 0.4563)
O (0.2071, 0.2312, 0.3025)
O (0.2212, 0.7734, 0.9947)
O (0.2788, 0.2734, 0.5522)
O (0.2929, 0.5954, 0.0240)
O (0.2936, 0.7499, 0.6883)
O (0.2982, 0.0978, 0.0596)
O (0.3011, 0.5458, 0.1896)
O (0.3562, 0.1116, 0.8104)
O (0.3643, 0.9650, 0.3293)
O (0.3654, 0.1762, 0.6716)
O (0.3969, 0.4240, 0.4283)
O (0.4286, 0.7312, 0.0240)
O (0.4384, 0.7501, 0.5437)
O (0.4618, 0.4022, 0.2003)
O (0.4954, 0.3062, 0.6716)
O (0.4957, 0.9240, 0.0271)
O (0.5043, 0.0760, 0.9729)
O (0.5046, 0.6938, 0.3284)
O (0.5382, 0.5978, 0.7997)
O (0.5616, 0.2499, 0.4563)
O (0.5714, 0.2688, 0.9760)
O (0.6031, 0.5760, 0.5717)
O (0.6346, 0.8238, 0.3284)
O (0.6357, 0.0350, 0.6707)
O (0.6438, 0.8884, 0.1896)
O (0.6989, 0.4542, 0.8104)
O (0.7018, 0.9022, 0.9404)
O (0.7064, 0.2501, 0.3117)
O (0.7071, 0.4046, 0.9760)
O (0.7212, 0.7266, 0.4478)
O (0.7788, 0.2266, 0.0053)
O (0.7929, 0.7688, 0.6975)
O (0.7936, 0.1054, 0.5437)
O (0.7982, 0.7386, 0.2003)
O (0.8011, 0.6116, 0.7554)
O (0.8562, 0.0458, 0.2446)
O (0.8643, 0.5350, 0.3993)
O (0.8654, 0.1938, 0.1893)
O (0.8969, 0.4686, 0.9729)
O (0.9286, 0.9046, 0.6975)
O (0.9384, 0.3946, 0.6883)
O (0.9618, 0.7614, 0.0596)
O (0.9954, 0.3238, 0.1893)
O (0.9957, 0.9686, 0.5717)

Results
Space group: Ibam, No. 72
Spin magnetization (μB/atom): 0.0000
DFT total energy (eV/atom): -7.85



No. 3
A plane-wave DFT calculation with GGA-PBEsol was carried out for SiBi2O after structural relaxation.

a = 4.7672 Å, b = 4.7672 Å, c = 4.7672 Å
α = 60.00°, β = 60.00°, γ = 60.00°
Positions (direct):
Si (0.0000, 0.0000, 0.0000)
Bi (0.2500, 0.2500, 0.2500)
Bi (0.7500, 0.7500, 0.7500)
O (0.5000, 0.5000, 0.5000)

Results
Space group: Fm-3m, No. 225
Spin magnetization (μB/atom): 0.0000
DFT total energy (eV/atom): -4.77



No. 4
A plane-wave DFT calculation with GGA-PBEsol was carried out for SiBi3O7 after structural relaxation.

a = 8.0924 Å, b = 8.0924 Å, c = 5.2548 Å
α = 90.00°, β = 90.00°, γ = 120.00°
Positions (direct):
Si (0.3333, 0.6667, 0.0000)
Si (0.6667, 0.3333, 0.5000)
Bi (0.1051, 0.3463, 0.4642)
Bi (0.2412, 0.8949, 0.4642)
Bi (0.3463, 0.2412, 0.9642)
Bi (0.6537, 0.7588, 0.4642)
Bi (0.7588, 0.1051, 0.9642)
Bi (0.8949, 0.6537, 0.9642)
O (0.0858, 0.2477, 0.8552)
O (0.1185, 0.5862, 0.1280)
O (0.1619, 0.9142, 0.8552)
O (0.2477, 0.1619, 0.3552)
O (0.3333, 0.6667, 0.6865)
O (0.4138, 0.5324, 0.1280)
O (0.4676, 0.8815, 0.1280)
O (0.5324, 0.1185, 0.6280)
O (0.5862, 0.4676, 0.6280)
O (0.6667, 0.3333, 0.1865)
O (0.7523, 0.8381, 0.8552)
O (0.8381, 0.0858, 0.3552)
O (0.8815, 0.4138, 0.6280)
O (0.9142, 0.7523, 0.3552)

Results
Space group: P6_3, No. 173
Spin magnetization (μB/atom): 0.0001
DFT total energy (eV/atom): -6.61



No. 5
A plane-wave DFT calculation with GGA-PBEsol was carried out for SiBiO3 after structural relaxation.

a = 4.2444 Å, b = 4.2444 Å, c = 4.2444 Å
α = 90.00°, β = 90.00°, γ = 90.00°
Positions (direct):
Si (0.0000, 0.0000, 0.0000)
Bi (0.5000, 0.5000, 0.5000)
O (0.0000, 0.5000, 0.5000)
O (0.5000, 0.0000, 0.5000)
O (0.5000, 0.5000, 0.0000)

Results
Space group: Pm-3m, No. 221
Spin magnetization (μB/atom): 0.0000
DFT total energy (eV/atom): -5.39



No. 6
A plane-wave DFT calculation with GGA-PBEsol was carried out for Sm4Bi2O after structural relaxation.

a = 9.1252 Å, b = 9.1252 Å, c = 9.1252 Å
α = 150.65°, β = 150.65°, γ = 41.99°
Positions (direct):
Sm (0.0000, 0.5000, 0.5000)
Sm (0.1730, 0.1730, 0.0000)
Sm (0.5000, 0.0000, 0.5000)
Sm (0.8270, 0.8270, 0.0000)
Bi (0.3597, 0.3597, 0.0000)
Bi (0.6403, 0.6403, 0.0000)
O (0.0000, 0.0000, 0.0000)

Results
Space group: I4/mmm, No. 139
Spin magnetization (μB/atom): 0.0000
DFT total energy (eV/atom): -6.24



No. 7
A plane-wave DFT calculation with GGA-PBEsol was carried out for Sm3Bi5O12 after structural relaxation.

a = 9.4878 Å, b = 9.5161 Å, c = 9.5170 Å
α = 109.44°, β = 109.36°, γ = 109.31°
Positions (direct):
Sm (0.0000, 0.0000, 0.0000)
Sm (0.0016, 0.4994, 0.5015)
Sm (0.2811, 0.5304, 0.2501)
Sm (0.4676, 0.7468, 0.7158)
Sm (0.4995, 0.9977, 0.4980)
Sm (0.5017, 0.4979, 0.9992)
Bi (0.0297, 0.2492, 0.7816)
Bi (0.2207, 0.9677, 0.7482)
Bi (0.2523, 0.2816, 0.5313)
Bi (0.2521, 0.7784, 0.0294)
Bi (0.5303, 0.2503, 0.2795)
Bi (0.7211, 0.4693, 0.7515)
Bi (0.7480, 0.7192, 0.4692)
Bi (0.7500, 0.2146, 0.9702)
Bi (0.7820, 0.0286, 0.2496)
Bi (0.9719, 0.7487, 0.2199)
O (0.0152, 0.7353, 0.4659)
O (0.0312, 0.2714, 0.0508)
O (0.0509, 0.0326, 0.2699)
O (0.2293, 0.4938, 0.4596)
O (0.2323, 0.7578, 0.2737)
O (0.2419, 0.7208, 0.7680)
O (0.2685, 0.5357, 0.9948)
O (0.2714, 0.0504, 0.0323)
O (0.2825, 0.2285, 0.7626)
O (0.4528, 0.2199, 0.4850)
O (0.4615, 0.0003, 0.7294)
O (0.4837, 0.4554, 0.2242)
O (0.5157, 0.5459, 0.7766)
O (0.5335, 0.9843, 0.2621)
O (0.5354, 0.7665, 0.5073)
O (0.7215, 0.7680, 0.2345)
O (0.7288, 0.9505, 0.9653)
O (0.7405, 0.4673, 0.0164)
O (0.7666, 0.2797, 0.2315)
O (0.7688, 0.2291, 0.7189)
O (0.7777, 0.5161, 0.5476)
O (0.9481, 0.9692, 0.7291)
O (0.9672, 0.7297, 0.9494)
O (0.9842, 0.2621, 0.5347)

Results
Space group: P1, No. 1
Spin magnetization (μB/atom): 0.0000
DFT total energy (eV/atom): -7.03



No. 8
A plane-wave DFT calculation with GGA-PBEsol was carried out for Sn2Bi2O7 after structural relaxation.

a = 7.5098 Å, b = 7.5098 Å, c = 7.5098 Å
α = 60.00°, β = 60.00°, γ = 60.00°
Positions (direct):
Sn (0.0000, 0.0000, 0.0000)
Sn (0.0000, 0.0000, 0.5000)
Sn (0.0000, 0.5000, 0.0000)
Sn (0.5000, 0.0000, 0.0000)
Bi (0.0000, 0.5000, 0.5000)
Bi (0.5000, 0.0000, 0.5000)
Bi (0.5000, 0.5000, 0.0000)
Bi (0.5000, 0.5000, 0.5000)
O (0.0827, 0.0827, 0.6673)
O (0.0827, 0.6673, 0.0827)
O (0.0827, 0.6673, 0.6673)
O (0.3327, 0.3327, 0.9173)
O (0.3327, 0.9173, 0.3327)
O (0.3327, 0.9173, 0.9173)
O (0.3750, 0.3750, 0.3750)
O (0.6250, 0.6250, 0.6250)
O (0.6673, 0.0827, 0.0827)
O (0.6673, 0.0827, 0.6673)
O (0.6673, 0.6673, 0.0827)
O (0.9173, 0.3327, 0.3327)
O (0.9173, 0.3327, 0.9173)
O (0.9173, 0.9173, 0.3327)

Results
Space group: Fd-3m, No. 227
Spin magnetization (μB/atom): 0.0000
DFT total energy (eV/atom): -6.42



No. 9
A plane-wave DFT calculation with GGA-PBEsol was carried out for Y3Sn4BiO14 after structural relaxation.

a = 7.3693 Å, b = 7.3693 Å, c = 7.3693 Å
α = 60.20°, β = 60.20°, γ = 60.20°
Positions (direct):
Y (0.0000, 0.5000, 0.5000)
Y (0.5000, 0.0000, 0.5000)
Y (0.5000, 0.5000, 0.0000)
Sn (0.0000, 0.0000, 0.0000)
Sn (0.0000, 0.0000, 0.5000)
Sn (0.0000, 0.5000, 0.0000)
Sn (0.5000, 0.0000, 0.0000)
Bi (0.5000, 0.5000, 0.5000)
O (0.0823, 0.6622, 0.6622)
O (0.0883, 0.0883, 0.6620)
O (0.0883, 0.6620, 0.0883)
O (0.3378, 0.3378, 0.9177)
O (0.3380, 0.9117, 0.9117)
O (0.3378, 0.9177, 0.3378)
O (0.3705, 0.3705, 0.3705)
O (0.6295, 0.6295, 0.6295)
O (0.6622, 0.0823, 0.6622)
O (0.6620, 0.0883, 0.0883)
O (0.6622, 0.6622, 0.0823)
O (0.9117, 0.3380, 0.9117)
O (0.9117, 0.9117, 0.3380)
O (0.9177, 0.3378, 0.3378)

Results
Space group: R-3m, No. 166
Spin magnetization (μB/atom): 0.0000
DFT total energy (eV/atom): -7.60



No. 10
A plane-wave DFT calculation with GGA-PBEsol was carried out for YSn2BiO7 after structural relaxation.

a = 7.4255 Å, b = 7.4255 Å, c = 7.4255 Å
α = 120.28°, β = 119.83°, γ = 89.90°
Positions (direct):
Y (0.0000, 0.0000, 0.0000)
Y (0.5000, 0.0000, 0.5000)
Sn (0.0000, 0.5000, 0.5000)
Sn (0.5000, 0.0000, 0.0000)
Sn (0.5000, 0.5000, 0.0000)
Sn (0.5000, 0.5000, 0.5000)
Bi (0.0000, 0.0000, 0.5000)
Bi (0.0000, 0.5000, 0.0000)
O (0.1345, 0.8845, 0.2500)
O (0.1637, 0.4079, 0.3269)
O (0.1637, 0.8368, 0.7558)
O (0.1651, 0.4151, 0.7500)
O (0.4136, 0.1636, 0.2500)
O (0.4190, 0.1632, 0.8269)
O (0.4190, 0.5921, 0.2558)
O (0.5810, 0.4079, 0.7442)
O (0.5810, 0.8368, 0.1731)
O (0.5864, 0.8364, 0.7500)
O (0.8349, 0.5849, 0.2500)
O (0.8363, 0.1632, 0.2442)
O (0.8363, 0.5921, 0.6731)
O (0.8655, 0.1155, 0.7500)

Results
Space group: Imma, No. 74
Spin magnetization (μB/atom): 0.0000
DFT total energy (eV/atom): -7.21



No. 11
A plane-wave DFT calculation with GGA-PBEsol was carried out for SrBi2O4 after structural relaxation.

a = 9.8441 Å, b = 9.8441 Å, c = 6.0405 Å
α = 93.76°, β = 93.76°, γ = 25.36°
Positions (direct):
Sr (0.2348, 0.2348, 0.2601)
Sr (0.7652, 0.7652, 0.7399)
Bi (0.0996, 0.0996, 0.8126)
Bi (0.4259, 0.4259, 0.7234)
Bi (0.5741, 0.5741, 0.2766)
Bi (0.9004, 0.9004, 0.1874)
O (0.0906, 0.0906, 0.1725)
O (0.2057, 0.2057, 0.8544)
O (0.3256, 0.3256, 0.5769)
O (0.4121, 0.4121, 0.0764)
O (0.5879, 0.5879, 0.9236)
O (0.6744, 0.6744, 0.4231)
O (0.7943, 0.7943, 0.1456)
O (0.9094, 0.9094, 0.8275)

Results
Space group: C2/m, No. 12
Spin magnetization (μB/atom): 0.0000
DFT total energy (eV/atom): -6.21



No. 12
A plane-wave DFT calculation with GGA-PBEsol was carried out for Sr2BiO after structural relaxation.

a = 5.3678 Å, b = 5.3678 Å, c = 5.3678 Å
α = 60.00°, β = 60.00°, γ = 60.00°
Positions (direct):
Sr (0.2500, 0.2500, 0.2500)
Sr (0.7500, 0.7500, 0.7500)
Bi (0.0000, 0.0000, 0.0000)
O (0.5000, 0.5000, 0.5000)

Results
Space group: Fm-3m, No. 225
Spin magnetization (μB/atom): 0.2574
Relative energy among the computed polymorphs (meV per atom): 759.1
DFT total energy (eV/atom): -4.14



DOS(E_F) (states/eV/atom)
0.3038, 0.0567, 0.4020, 0.6684, 0.2378, 0.6251, 0.0000, 0.0000, 0.0000, 0.0000, 0.0000, 0.7196
E_form (uncorrected) (eV per formula unit)
-78.8, -52.6, 0.5, -17.3, -1.2, -9.5, -40.8, -16.7, -51.9, -22.9, -12.0, -3.3
Theoretical density (g/cm3)
7.3, 3.5, 10.0, 8.5, 6.2, 9.4, 8.4, 8.5, 6.9, 7.4, 7.6, 6.1